DFT (PBE) results for a geometry-optimized AlInPb2Au6 structure.

Summary:
Calculated formation energy (eV per atom): -0.10

Unit cell a=5.6007 b=6.7558 c=6.7705 alpha=80.01 beta=68.60 gamma=70.66
Space group P-1 (No. 2)
Unique sites:
Al  0.0000  0.0000  0.0000 x1
In  0.0000  0.5000  0.5000 x1
Pb  0.4971  0.2744  0.7557 x2
Au  0.0067  0.6796  0.8453 x2
Au  0.1478  0.0691  0.5956 x2
Au  0.4997  0.2350  0.2100 x2

DFT (PBE) results for a geometry-optimized PmPr2Nd3S6 structure.

Summary:
E_form (uncorrected) (eV per atom): -2.029

Unit cell a=7.0500 b=12.2496 c=7.0532 alpha=90.00 beta=109.51 gamma=90.00
Space group C2/m (No. 12)
Unique sites:
Pm  0.0000  0.0000  0.0000 x2
Pr  0.0000  0.3333  0.0000 x4
Nd  0.0000  0.1683  0.5000 x4
Nd  0.0000  0.5000  0.5000 x2
S  0.2455  0.0000  0.7480 x4
S  0.2483  0.1649  0.2505 x8

DFT (PBE) results for a geometry-optimized Tb2VNi structure.

Summary:
Calculated formation energy (eV per atom): 0.55

Unit cell a=3.4105 b=3.4105 c=28.5078 alpha=90.00 beta=90.00 gamma=120.00
Space group R-3m (No. 166, hexagonal axes)
Unique sites:
Tb  0.0000  0.0000  0.1008 x6
V  0.0000  0.0000  0.0000 x3
Ni  0.0000  0.0000  0.5000 x3

DFT (PBE) results for a geometry-optimized Nb3SbPt structure.

Summary:
E_form (uncorrected) (eV per atom): 1.564

Unit cell a=4.9556 b=4.9556 c=4.9556 alpha=90.00 beta=90.00 gamma=90.00
Space group Pm-3m (No. 221)
Unique sites:
Nb  0.0000  0.0000  0.5000 x3
Sb  0.0000  0.0000  0.0000 x1
Pt  0.5000  0.5000  0.5000 x1

DFT (PBE) results for a geometry-optimized LiNiTeRh structure.

Summary:
E_form (uncorrected) (eV per atom): -0.249

Unit cell a=6.1580 b=6.1580 c=6.1580 alpha=90.00 beta=90.00 gamma=90.00
Space group F-43m (No. 216)
Unique sites:
Li  0.0000  0.0000  0.0000 x4
Ni  0.2500  0.2500  0.7500 x4
Te  0.0000  0.0000  0.5000 x4
Rh  0.2500  0.2500  0.2500 x4

DFT (PBE) results for a geometry-optimized RbIn2PI structure.

Summary:
E_form (uncorrected) (eV per atom): 0.807

Unit cell a=6.8260 b=6.8260 c=5.3806 alpha=90.00 beta=90.00 gamma=90.00
Space group P4/mmm (No. 123)
Unique sites:
Rb  0.0000  0.0000  0.0000 x1
In  0.0000  0.5000  0.0000 x2
P  0.0000  0.0000  0.5000 x1
I  0.5000  0.5000  0.5000 x1

| no. | E (eV for the cell shown) |
| --- | --- |
| 1 | -34.53 |
| 2 | -155.45 |
| 3 | -65.89 |
| 4 | -32.55 |
| 5 | -76.74 |
| 6 | -9.37 |